No. 1
RbOsSeO | the Open Quantum Materials Database | PBE | relaxed; offset from the most stable computed form = 0 meV per atom; E = -5.7080 eV per atom; total magnetization = 0.0 μB per formula unit
1.0
5.273 0.000 0.000
-0.163 5.725 0.000
-1.753 -1.845 13.857
Rb Os Se O
4 4 4 4
direct
0.210 0.258 0.035
0.247 0.269 0.533
0.753 0.731 0.467
0.790 0.742 0.965
0.428 0.795 0.187
0.441 0.825 0.690
0.559 0.175 0.310
0.572 0.205 0.813
0.151 0.983 0.287
0.311 0.521 0.777
0.689 0.479 0.223
0.849 0.017 0.713
0.271 0.789 0.569
0.337 0.779 0.059
0.663 0.221 0.941
0.729 0.211 0.431

No. 2
RbOsSeO | the Open Quantum Materials Database | PBE | relaxed; offset from the most stable computed form = 216 meV per atom; E = -5.4919 eV per atom; total magnetization = 0.0 μB per formula unit
1.0
5.447 0.000 0.000
0.000 5.071 0.000
-1.548 0.000 13.948
Rb Os Se O
4 4 4 4
direct
0.117 0.000 0.170
0.366 0.972 0.847
0.634 0.472 0.153
0.883 0.500 0.830
0.114 0.171 0.582
0.420 0.800 0.592
0.580 0.300 0.408
0.886 0.671 0.418
0.203 0.513 0.323
0.358 0.454 0.707
0.642 0.954 0.293
0.797 0.013 0.677
0.113 0.561 0.533
0.382 0.093 0.490
0.618 0.593 0.510
0.887 0.061 0.467

No. 3
RbOsSeO | the Open Quantum Materials Database | PBE | relaxed; offset from the most stable computed form = 877 meV per atom; E = -4.8306 eV per atom; total magnetization = 0.9 μB per formula unit
1.0
4.257 0.000 0.000
0.000 4.257 0.000
0.000 0.000 10.220
Rb Os Se O
2 2 2 2
direct
0.250 0.750 0.000
0.750 0.250 0.000
0.250 0.250 0.461
0.750 0.750 0.539
0.250 0.250 0.232
0.750 0.750 0.768
0.250 0.750 0.500
0.750 0.250 0.500

No. 4
RbOsSeO | the Open Quantum Materials Database | PBE | relaxed; offset from the most stable computed form = 38 meV per atom; E = -5.6704 eV per atom; total magnetization = 0.0 μB per formula unit
1.0
4.368 0.000 0.000
0.000 7.076 0.000
0.000 0.000 7.154
Rb Os Se O
2 2 2 2
direct
0.000 0.194 0.000
0.000 0.806 0.500
0.500 0.435 0.420
0.500 0.565 0.920
0.000 0.285 0.470
0.000 0.715 0.970
0.500 0.457 0.160
0.500 0.543 0.660

No. 5
Rb2SrOs2O7 | the Open Quantum Materials Database | PBE | relaxed; E = -6.5394 eV per atom; total magnetization = 2.1 μB per formula unit
1.0
-1.964 1.964 11.006
1.964 -1.964 11.006
1.964 1.964 -11.006
Rb Sr Os O
2 1 2 7
direct
0.192 0.192 0.000
0.808 0.808 0.000
0.000 0.000 0.000
0.408 0.408 0.000
0.592 0.592 0.000
0.086 0.586 0.500
0.322 0.322 0.000
0.414 0.914 0.500
0.500 0.500 0.000
0.586 0.086 0.500
0.678 0.678 0.000
0.914 0.414 0.500

No. 6
Rb2YOsO6 | the Open Quantum Materials Database | PBE | relaxed; E = -6.8190 eV per atom; total magnetization = 0.0 μB per formula unit
1.0
0.000 4.167 4.167
4.167 0.000 4.167
4.167 4.167 0.000
Rb Y Os O
2 1 1 6
direct
0.250 0.250 0.250
0.750 0.750 0.750
0.000 0.000 0.000
0.500 0.500 0.500
0.272 0.272 0.728
0.272 0.728 0.272
0.272 0.728 0.728
0.728 0.272 0.272
0.728 0.272 0.728
0.728 0.728 0.272

No. 7
Re2OsO6 | the Open Quantum Materials Database | PBE | relaxed; E = -8.5154 eV per atom; total magnetization = 0.0 μB per formula unit
1.0
2.403 -4.101 0.000
2.403 4.101 0.000
-0.023 0.000 4.825
Re Os O
2 1 6
direct
0.166 0.834 0.000
0.834 0.166 0.000
0.500 0.500 0.500
0.175 0.499 0.252
0.179 0.179 0.747
0.499 0.175 0.252
0.501 0.825 0.748
0.821 0.821 0.253
0.825 0.501 0.748

No. 8
Re2Os2O5 | the Open Quantum Materials Database | PBE | relaxed; offset from the most stable computed form = 0 meV per atom; E = -7.9054 eV per atom; total magnetization = 1.2 μB per formula unit
1.0
3.302 0.000 0.000
0.000 3.302 0.000
0.000 0.000 8.445
Re Os O
2 2 5
direct
0.000 0.000 0.166
0.000 0.000 0.834
0.500 0.500 0.000
0.500 0.500 0.500
0.000 0.000 0.500
0.000 0.500 0.308
0.000 0.500 0.692
0.500 0.000 0.308
0.500 0.000 0.692

Repeat the eighth record exactly.
Re2Os2O5 | the Open Quantum Materials Database | PBE | relaxed; offset from the most stable computed form = 0 meV per atom; E = -7.9054 eV per atom; total magnetization = 1.2 μB per formula unit
1.0
3.302 0.000 0.000
0.000 3.302 0.000
0.000 0.000 8.445
Re Os O
2 2 5
direct
0.000 0.000 0.166
0.000 0.000 0.834
0.500 0.500 0.000
0.500 0.500 0.500
0.000 0.000 0.500
0.000 0.500 0.308
0.000 0.500 0.692
0.500 0.000 0.308
0.500 0.000 0.692